## Li2SmY2Bi2 (PBE)

Data for Li2SmY2Bi2 after structural relaxation.

a b c (Å): 4.8849 4.8849 26.9691
angles (deg): 90.00 90.00 120.00
Space group R-3m (No. 166, hexagonal axes)
Unique sites:
Li 0.0000 0.0000 0.0878
Sm 0.0000 0.0000 0.5000
Y 0.0000 0.0000 0.3683
Bi 0.0000 0.0000 0.2358

## Properties
formation energy: -0.4202 eV/atom
crystal system: trigonal

## SrIO2 (PBE)

Data for SrIO2 after structural relaxation.

a b c (Å): 4.0197 4.0197 14.8920
angles (deg): 90.00 90.00 120.00
Space group R-3m (No. 166, hexagonal axes)
Unique sites:
Sr 0.0000 0.0000 0.0000
I 0.0000 0.0000 0.5000
O 0.0000 0.0000 0.2444

## Properties
crystal system: trigonal
formation energy from raw total energies: -0.86 eV/atom
energy above the lowest structure with this stoichiometry: 63.3 kJ/mol of atoms

## Sm4TmTl4 (PBE)

Data for Sm4TmTl4 after structural relaxation.

a b c (Å): 9.333 9.333 6.158
angles (deg): 90.00 90.00 90.00
Space group P4_2/n (No. 86, origin choice 2)
Unique sites:
Sm 0.082 0.825 0.121
Tm 0.250 0.250 0.750
Tl 0.045 0.151 0.371

## Properties
formation energy: -0.1854 eV/atom
crystal system: tetragonal

## Re3SiP (PBE)

Data for Re3SiP after structural relaxation.

a b c (Å): 4.359 4.359 4.359
angles (deg): 90.00 90.00 90.00
Space group Pm-3m (No. 221)
Unique sites:
Re 0.000 0.000 0.500
Si 0.500 0.500 0.500
P 0.000 0.000 0.000

## Properties
crystal system: cubic
formation energy from raw total energies: 1.13 eV/atom
energy above the lowest structure with this stoichiometry: 0.0 kJ/mol of atoms

## BaCa2Mo2 (PBE)

Data for BaCa2Mo2 after structural relaxation.

a b c (Å): 9.084 9.084 3.678
angles (deg): 90.00 90.00 90.00
Space group P4/mbm (No. 127)
Unique sites:
Ba 0.000 0.000 0.000
Ca 0.190 0.310 0.500
Mo 0.083 0.583 0.000

## Properties
formation energy: 0.7111 eV/atom
crystal system: tetragonal
energy above the lowest structure with this stoichiometry: 0.0 kJ/mol of atoms

## LaNdInGa (PBE)

Data for LaNdInGa after structural relaxation.

a b c (Å): 3.799 3.799 7.765
angles (deg): 90.00 90.00 90.00
Space group P4mm (No. 99)
Unique sites:
La 0.000 0.000 0.000
Nd 0.000 0.000 0.471
In 0.500 0.500 0.727
Ga 0.500 0.500 0.244

## Properties
formation energy: -0.5324 eV/atom
crystal system: tetragonal
energy above the lowest structure with this stoichiometry: 0.0 kJ/mol of atoms

## NbReHRu2 (PBE)

Data for NbReHRu2 after structural relaxation.

a b c (Å): 3.973 3.973 3.970
angles (deg): 90.00 90.00 90.00
Space group P4/mmm (No. 123)
Unique sites:
Nb 0.000 0.000 0.000
Re 0.500 0.500 0.000
H 0.500 0.500 0.500
Ru 0.000 0.500 0.500

## Properties
crystal system: tetragonal
energy above the lowest structure with this stoichiometry: 0.8 kJ/mol of atoms

## TcIr2Pt (PBE)

Data for TcIr2Pt after structural relaxation.

a b c (Å): 2.735 3.921 5.499
angles (deg): 90.00 90.00 90.00
Space group Pmm2 (No. 25)
Unique sites:
Tc 0.000 0.000 0.000
Ir 0.000 0.000 0.486
Ir 0.500 0.500 0.235
Pt 0.500 0.500 0.744

## Properties
formation energy: -0.0782 eV/atom
crystal system: orthorhombic
energy above the lowest structure with this stoichiometry: 6.1 kJ/mol of atoms

## K2VCu (PBE)

Data for K2VCu after structural relaxation.

a b c (Å): 12.186 12.186 4.866
angles (deg): 90.00 90.00 90.00
Space group I-42d (No. 122)
Unique sites:
K 0.086 0.250 0.125
V 0.000 0.000 0.500
Cu 0.000 0.000 0.000

## Properties
formation energy: 0.9463 eV/atom
crystal system: tetragonal
energy above the lowest structure with this stoichiometry: 0.0 kJ/mol of atoms

## MnNiAgPt (PBE)

Data for MnNiAgPt after structural relaxation.

a b c (Å): 6.182 6.182 6.182
angles (deg): 90.00 90.00 90.00
Space group F-43m (No. 216)
Unique sites:
Mn 0.000 0.000 0.000
Ni 0.000 0.000 0.500
Ag 0.250 0.250 0.250
Pt 0.250 0.250 0.750

## Properties
formation energy: 0.0244 eV/atom
crystal system: cubic

## RbZr2InSe (PBE)

Data for RbZr2InSe after structural relaxation.

a b c (Å): 5.177 5.177 5.590
angles (deg): 90.00 90.00 90.00
Space group P4/mmm (No. 123)
Unique sites:
Rb 0.000 0.000 0.000
Zr 0.000 0.500 0.000
In 0.500 0.500 0.500
Se 0.000 0.000 0.500

## Properties
crystal system: tetragonal
formation energy from raw total energies: 1.66 eV/atom

## Li4InRh2 (PBE)

Data for Li4InRh2 after structural relaxation.

a b c (Å): 5.044 5.633 7.543
angles (deg): 90.00 90.00 90.00
Space group Immm (No. 71)
Unique sites:
Li 0.000 0.212 0.203
In 0.000 0.500 0.500
Rh 0.244 0.000 0.500

## Properties
formation energy: -0.1324 eV/atom
crystal system: orthorhombic

## Y2Ag2Sn (PBE)

Data for Y2Ag2Sn after structural relaxation.

a b c (Å): 8.403 8.403 3.670
angles (deg): 90.00 90.00 90.00
Space group P4/mbm (No. 127)
Unique sites:
Y 0.167 0.333 0.000
Ag 0.125 0.625 0.500
Sn 0.000 0.000 0.000

## Properties
formation energy: -0.2154 eV/atom
crystal system: tetragonal
energy above the lowest structure with this stoichiometry: 21.9 kJ/mol of atoms

## LiAu2Se (PBE)

Data for LiAu2Se after structural relaxation.

a b c (Å): 6.642 6.642 6.642
angles (deg): 90.00 90.00 90.00
Space group F-43m (No. 216)
Unique sites:
Li 0.000 0.000 0.000
Au 0.000 0.000 0.500
Au 0.250 0.250 0.750
Se 0.250 0.250 0.250

## Properties
crystal system: cubic
formation energy from raw total energies: -0.19 eV/atom
energy above the lowest structure with this stoichiometry: 11.6 kJ/mol of atoms

## Ce12PuAg6 (PBE)

Data for Ce12PuAg6 after structural relaxation.

a b c (Å): 14.0053 14.0053 8.8371
angles (deg): 90.00 90.00 120.00
Space group R-3 (No. 148, hexagonal axes)
Unique sites:
Ce 0.0314 0.7786 0.0801
Ce 0.0509 0.8062 0.3912
Pu 0.0000 0.0000 0.0000
Ag 0.0399 0.8429 0.7450

## Properties
formation energy: 0.0721 eV/atom
crystal system: trigonal

## AlRuBr2 (PBE)

Data for AlRuBr2 after structural relaxation.

a b c (Å): 6.388 7.428 7.454
angles (deg): 90.00 90.00 90.00
Space group Fmmm (No. 69)
Unique sites:
Al 0.000 0.000 0.000
Ru 0.000 0.000 0.500
Br 0.000 0.250 0.250

## Properties
crystal system: orthorhombic
formation energy from raw total energies: 0.55 eV/atom
energy above the lowest structure with this stoichiometry: 72.7 kJ/mol of atoms

## Pt2PbCl (PBE)

Data for Pt2PbCl after structural relaxation.

a b c (Å): 3.570 3.570 6.447
angles (deg): 90.00 90.00 90.00
Space group P4/mmm (No. 123)
Unique sites:
Pt 0.000 0.000 0.213
Pb 0.500 0.500 0.000
Cl 0.500 0.500 0.500

## Properties
crystal system: tetragonal
formation energy from raw total energies: 0.27 eV/atom
energy above the lowest structure with this stoichiometry: 35.0 kJ/mol of atoms

## Y3Mg7In2 (PBE)

Data for Y3Mg7In2 after structural relaxation.

a b c (Å): 6.0386 6.0386 28.9346
angles (deg): 90.00 90.00 120.00
Space group R-3m (No. 166, hexagonal axes)
Unique sites:
Y 0.0000 0.0000 0.0000
Y 0.0000 0.0000 0.1446
Mg 0.0000 0.0000 0.5000
Mg 0.0059 0.5030 0.9163
In 0.0000 0.0000 0.3345

## Properties
formation energy: -0.1382 eV/atom
crystal system: trigonal

## Pm2H6PdRh2 (PBE)

Data for Pm2H6PdRh2 after structural relaxation.

a b c (Å): 5.1597 5.1597 15.8856
angles (deg): 90.00 90.00 120.00
Space group R-3m (No. 166, hexagonal axes)
Unique sites:
Pm 0.0000 0.0000 0.2268
H 0.0434 0.5217 0.7560
Pd 0.0000 0.0000 0.0000
Rh 0.0000 0.0000 0.4003

## Properties
crystal system: trigonal

## InTc2Cl (PBE)

Data for InTc2Cl after structural relaxation.

a b c (Å): 3.063 3.000 8.102
angles (deg): 90.00 98.88 90.00
Space group Pm (No. 6)
Unique sites:
In 0.000 0.000 0.000
Tc 0.400 0.500 0.757
Tc 0.825 0.000 0.574
Cl 0.717 0.500 0.327

## Properties
crystal system: monoclinic
formation energy from raw total energies: -0.02 eV/atom
energy above the lowest structure with this stoichiometry: 0.0 kJ/mol of atoms

Number 1: E -4.597 eV/atom, magnetic moment 3.975 μB/cell. Number 2: E -4.144 eV/atom, magnetic moment 0.000 μB/cell. Number 3: E -3.831 eV/atom, magnetic moment 0.000 μB/cell. Number 4: E -8.507 eV/atom, magnetic moment 0.000 μB/cell. Number 5: E -4.807 eV/atom, magnetic moment 0.000 μB/cell. Number 6: E -4.398 eV/atom, magnetic moment 0.000 μB/cell. Number 7: E -8.943 eV/atom, magnetic moment 0.000 μB/cell. Number 8: E -8.610 eV/atom, magnetic moment 0.000 μB/cell. Number 9: E -2.906 eV/atom, magnetic moment 16.752 μB/cell. Number 10: E -5.936 eV/atom, magnetic moment 17.831 μB/cell. Number 11: E -3.194 eV/atom, magnetic moment 0.000 μB/cell. Number 12: E -3.718 eV/atom, magnetic moment 0.004 μB/cell. Number 13: E -4.742 eV/atom, magnetic moment 0.000 μB/cell. Number 14: E -3.183 eV/atom, magnetic moment 0.000 μB/cell. Number 15: E -5.330 eV/atom, magnetic moment 38.003 μB/cell. Number 16: E -3.546 eV/atom, magnetic moment 4.737 μB/cell. Number 17: E -4.134 eV/atom, magnetic moment 0.000 μB/cell. Number 18: E -3.141 eV/atom, magnetic moment 0.001 μB/cell. Number 19: E -4.901 eV/atom, magnetic moment 0.000 μB/cell. Number 20: E -6.352 eV/atom, magnetic moment 0.000 μB/cell.